The following is a PBE-GGA calculation of a relaxed NaTl5Pb5 crystal, from the Alexandria database.

Summary:
DFT total energy, eV/atom: -2.92
ρ, Mg/m³: 10.24
DFT formation energy, meV per atom: -41

Lattice parameters (Å, degrees): 4.979 6.102 12.582 94.89 101.10 113.83
Space group P1 (No. 1)
Unique sites:
Na  0.000  0.000  0.000
Tl  0.084  0.898  0.268
Tl  0.275  0.739  0.820
Tl  0.360  0.632  0.089
Tl  0.638  0.367  0.909
Tl  0.915  0.103  0.731
Pb  0.183  0.827  0.548
Pb  0.452  0.538  0.364
Pb  0.545  0.466  0.633
Pb  0.730  0.271  0.183
Pb  0.817  0.182  0.452